Arrangement one

Here is a relaxed BeNbS crystal from Alexandria. Energies are from PBE.

Structure (POSCAR):
```
BeNbS
1.0
6.884 0.000 0.002
0.000 3.216 0.000
-3.535 0.000 8.009
Nb S Be
4 4 4
direct
0.453 0.000 0.231
0.157 0.000 0.855
0.453 0.500 0.731
0.157 0.500 0.355
0.560 0.500 0.471
0.150 0.500 0.071
0.150 0.000 0.571
0.560 0.000 0.971
0.824 0.000 0.214
0.824 0.500 0.714
0.779 0.000 0.857
0.779 0.500 0.357
```

Arrangement two

Here is a relaxed BeNbS crystal from Alexandria. Energies are from PBE.

Structure (POSCAR):
```
BeNbS
1.0
-3.235 3.870 3.411
-1.554 -2.482 1.343
7.720 -2.636 4.065
Nb S Be
4 4 4
direct
0.629 0.000 0.723
0.629 0.500 0.223
0.977 0.500 0.008
0.977 0.000 0.508
0.649 0.000 0.004
0.072 0.500 0.305
0.072 0.000 0.805
0.649 0.500 0.504
0.268 0.000 0.230
0.327 0.000 0.030
0.268 0.500 0.730
0.327 0.500 0.530
```

Arrangement three

Here is a relaxed BeNbS crystal from Alexandria. Energies are from PBE.

Structure (POSCAR):
```
BeNbS
1.0
7.438 0.000 0.006
0.000 3.145 0.000
-4.612 0.000 7.335
Nb S Be
4 4 4
direct
0.542 0.500 0.365
0.542 0.000 0.865
0.875 0.500 0.220
0.875 0.000 0.720
0.465 0.000 0.544
0.833 0.500 0.921
0.833 0.000 0.421
0.465 0.500 0.044
0.199 0.500 0.775
0.162 0.000 0.555
0.199 0.000 0.275
0.162 0.500 0.055
```

Which is less stable than every other structure shown? arrangement one is.